Nd4AsSe3 after structural relaxation, computed with GGA-PBE.

Lattice parameters (Å, degrees): 5.994 5.994 5.994 90.00 90.00 90.00
Atoms (fractional coordinates):
Nd1 0.000 0.000 0.000
Nd2 0.000 0.500 0.500
Nd3 0.500 0.000 0.500
Nd4 0.500 0.500 0.000
As1 0.500 0.500 0.500
Se1 0.000 0.000 0.500
Se2 0.000 0.500 0.000
Se3 0.500 0.000 0.000



MgTlW2 after structural relaxation, computed with GGA-PBE.

Lattice parameters (Å, degrees): 2.810 2.810 9.356 90.00 90.00 90.00
Atoms (fractional coordinates):
Mg1 0.000 0.000 0.000
Tl1 0.000 0.000 0.500
W1 0.500 0.500 0.242
W2 0.500 0.500 0.758



RbPuO5 after structural relaxation, computed with GGA-PBE.

Lattice parameters (Å, degrees): 4.507 6.485 8.689 90.25 90.75 90.03
Atoms (fractional coordinates):
Rb1 0.249 0.126 0.250
Rb2 0.751 0.874 0.750
Pu1 0.250 0.376 0.751
Pu2 0.750 0.624 0.249
O1 0.226 0.172 0.601
O2 0.234 0.581 0.899
O3 0.250 0.625 0.249
O4 0.268 0.579 0.604
O5 0.274 0.173 0.900
O6 0.726 0.827 0.100
O7 0.732 0.421 0.396
O8 0.750 0.375 0.751
O9 0.766 0.419 0.101
O10 0.774 0.828 0.399



TmTl2RhO6 after structural relaxation, computed with GGA-PBE.

Lattice parameters (Å, degrees): 5.840 5.840 5.840 58.23 58.23 58.23
Atoms (fractional coordinates):
Tm1 0.000 0.000 0.000
Tl1 0.264 0.264 0.264
Tl2 0.777 0.777 0.777
Rh1 0.493 0.493 0.493
O1 0.145 0.709 0.371
O2 0.240 0.624 0.841
O3 0.371 0.145 0.709
O4 0.624 0.841 0.240
O5 0.709 0.371 0.145
O6 0.841 0.240 0.624



TcRh2Br after structural relaxation, computed with GGA-PBE.

Lattice parameters (Å, degrees): 3.883 3.883 4.109 90.00 90.00 90.00
Atoms (fractional coordinates):
Tc1 0.000 0.000 0.000
Rh1 0.000 0.500 0.500
Rh2 0.500 0.000 0.500
Br1 0.500 0.500 0.000



Tb2PmMg2 after structural relaxation, computed with GGA-PBE.

Lattice parameters (Å, degrees): 9.000 9.000 3.636 90.00 90.00 90.00
Atoms (fractional coordinates):
Tb1 0.132 0.368 0.000
Tb2 0.368 0.868 0.000
Tb3 0.632 0.132 0.000
Tb4 0.868 0.632 0.000
Pm1 0.000 0.000 0.000
Pm2 0.500 0.500 0.000
Mg1 0.165 0.665 0.500
Mg2 0.335 0.165 0.500
Mg3 0.665 0.835 0.500
Mg4 0.835 0.335 0.500



RbNaCo2Pb after structural relaxation, computed with GGA-PBE.

Lattice parameters (Å, degrees): 5.118 5.118 5.343 90.00 90.00 90.00
Atoms (fractional coordinates):
Rb1 0.000 0.000 0.000
Na1 0.000 0.000 0.500
Co1 0.000 0.500 0.500
Co2 0.500 0.000 0.500
Pb1 0.500 0.500 0.000



TlCr3Ga after structural relaxation, computed with GGA-PBE.

Lattice parameters (Å, degrees): 4.704 4.704 4.704 90.00 90.00 90.00
Atoms (fractional coordinates):
Tl1 0.000 0.000 0.000
Cr1 0.000 0.500 0.500
Cr2 0.500 0.000 0.500
Cr3 0.500 0.500 0.000
Ga1 0.500 0.500 0.500



CaSm8Tc2 after structural relaxation, computed with GGA-PBE.

Lattice parameters (Å, degrees): 8.552 8.552 6.399 92.85 92.85 47.58
Atoms (fractional coordinates):
Ca1 0.000 0.000 0.000
Sm1 0.121 0.627 0.598
Sm2 0.216 0.216 0.878
Sm3 0.373 0.879 0.402
Sm4 0.421 0.421 0.156
Sm5 0.579 0.579 0.844
Sm6 0.627 0.121 0.598
Sm7 0.784 0.784 0.122
Sm8 0.879 0.373 0.402
Tc1 0.269 0.269 0.332
Tc2 0.731 0.731 0.668



NbSb after structural relaxation, computed with GGA-PBE.

Lattice parameters (Å, degrees): 6.892 6.671 5.688 67.24 63.20 49.56
Atoms (fractional coordinates):
Nb1 0.054 0.696 0.696
Nb2 0.304 0.946 0.946
Nb3 0.696 0.054 0.054
Nb4 0.946 0.304 0.304
Sb1 0.176 0.574 0.176
Sb2 0.426 0.824 0.426
Sb3 0.574 0.176 0.574
Sb4 0.824 0.426 0.824



ScCd2P after structural relaxation, computed with GGA-PBE.

Lattice parameters (Å, degrees): 3.925 3.925 5.565 90.00 90.00 90.18
Atoms (fractional coordinates):
Sc1 0.000 0.000 0.000
Cd1 0.253 0.253 0.500
Cd2 0.747 0.747 0.500
P1 0.500 0.500 0.000



PrAg2Sb2 after structural relaxation, computed with GGA-PBE.

Lattice parameters (Å, degrees): 7.496 7.496 6.521 115.02 115.02 98.55
Atoms (fractional coordinates):
Pr1 0.140 0.860 0.750
Pr2 0.860 0.140 0.250
Ag1 0.191 0.502 0.244
Ag2 0.498 0.809 0.256
Ag3 0.502 0.191 0.744
Ag4 0.809 0.498 0.756
Sb1 0.133 0.867 0.250
Sb2 0.434 0.566 0.750
Sb3 0.566 0.434 0.250
Sb4 0.867 0.133 0.750



Calculated volume
In order: 215.31, 73.87, 253.93, 135.11, 61.97, 294.45, 139.96, 104.10, 344.95, 175.96, 85.73, 275.86
Unit: Å³/cell
Total energy
In order: -6.069, -6.566, -7.433, -6.023, -5.779, -3.387, -2.577, -5.798, -5.425, -7.066, -3.684, -4.057
Unit: eV/atom